w) Computed, not measured: an optimized crystal structure of CuAg2Pd3 at the PBE-GGA level of DFT.

Properties
- Symmetry: Cmcm, No. 63
- Calculated volume: 16.38 A^3/atom

```
CuAg2Pd3
1.0
4.083 -4.464 0.000
4.083 4.464 0.000
0.000 0.000 5.391
Cu Ag Pd
2 4 6
Cartesian
4.083 2.434 4.044 Cu
4.083 -2.434 1.348 Cu
2.677 2.064 1.348 Ag
5.489 2.064 1.348 Ag
2.677 -2.064 4.044 Ag
5.489 -2.064 4.044 Ag
1.322 0.000 0.000 Pd
1.322 0.000 2.696 Pd
4.083 0.000 0.000 Pd
4.083 0.000 2.696 Pd
6.844 0.000 0.000 Pd
6.844 0.000 2.696 Pd
```

x) Computed, not measured: an optimized crystal structure of CuAg2Pd3 at the PBE-GGA level of DFT.

Properties
- Symmetry: Cmmm, No. 65
- Calculated volume: 15.73 A^3/atom

```
CuAg2Pd3
1.0
2.014 -6.056 0.000
2.014 6.056 0.000
0.000 0.000 7.740
Cu Ag Pd
2 4 6
Cartesian
2.014 4.020 0.000 Cu
2.014 -4.020 0.000 Cu
2.014 4.035 3.870 Ag
2.014 0.000 0.000 Ag
2.014 0.000 3.870 Ag
2.014 -4.035 3.870 Ag
0.000 0.000 1.861 Pd
0.000 0.000 5.879 Pd
2.014 2.060 1.805 Pd
2.014 2.060 5.935 Pd
2.014 -2.060 1.805 Pd
2.014 -2.060 5.935 Pd
```

Verdict on stability: x) comes out on top.

w) Computed, not measured: an optimized crystal structure of CuAg2Pd6 at the PBE-GGA level of DFT.

Properties
- Symmetry: C2/m, No. 12
- Calculated volume: 15.63 A^3/atom

```
CuAg2Pd6
1.0
4.464 -1.969 0.000
4.464 1.969 0.000
-2.775 0.000 8.003
Cu Ag Pd
1 2 6
Cartesian
0.000 0.000 0.000 Cu
1.737 0.000 3.549 Ag
4.416 0.000 4.455 Ag
-1.820 0.000 5.443 Pd
2.624 0.000 0.849 Pd
0.887 0.000 6.313 Pd
5.265 0.000 1.690 Pd
3.529 0.000 7.155 Pd
7.972 0.000 2.561 Pd
```

x) Computed, not measured: an optimized crystal structure of CuAg2Pd6 at the PBE-GGA level of DFT.

Properties
- Symmetry: Fmmm, No. 69
- Calculated volume: 15.62 A^3/atom

```
CuAg2Pd6
1.0
0.000 5.903 6.052
1.968 0.000 6.052
1.968 5.903 0.000
Cu Ag Pd
1 2 6
Cartesian
0.000 0.000 0.000 Cu
1.968 3.980 6.052 Ag
1.968 7.826 6.052 Ag
1.968 3.958 2.029 Pd
1.968 7.848 2.029 Pd
1.968 5.903 4.045 Pd
1.968 5.903 8.059 Pd
1.968 3.958 10.075 Pd
1.968 7.848 10.075 Pd
```

Verdict on stability: w) comes out on top.

w) Computed, not measured: an optimized crystal structure of CuAg2Pd8 at the PBE-GGA level of DFT.

Properties
- Symmetry: C2/m, No. 12
- Calculated volume: 16.47 A^3/atom

```
CuAg2Pd8
1.0
7.017 -2.600 0.000
7.017 2.600 0.000
-0.320 0.000 4.963
Cu Ag Pd
1 2 8
Cartesian
0.000 0.000 0.000 Cu
2.271 0.000 4.400 Ag
11.443 0.000 0.563 Ag
5.628 1.302 3.037 Pd
3.486 0.000 1.987 Pd
8.086 1.302 1.927 Pd
5.800 0.000 0.543 Pd
7.914 0.000 4.420 Pd
5.628 -1.302 3.037 Pd
10.228 0.000 2.976 Pd
8.086 -1.302 1.927 Pd
```

x) Computed, not measured: an optimized crystal structure of CuAg2Pd8 at the PBE-GGA level of DFT.

Properties
- Symmetry: C2/m, No. 12
- Calculated volume: 15.59 A^3/atom

```
CuAg2Pd8
1.0
7.186 -1.958 0.000
7.186 1.958 0.000
-1.693 0.000 6.095
Cu Ag Pd
1 2 8
Cartesian
0.000 0.000 0.000 Cu
3.314 0.000 2.212 Ag
9.365 0.000 3.883 Ag
0.500 0.000 2.702 Pd
1.029 0.000 5.543 Pd
3.901 0.000 5.044 Pd
6.085 0.000 1.647 Pd
6.593 0.000 4.448 Pd
8.778 0.000 1.051 Pd
11.649 0.000 0.552 Pd
12.179 0.000 3.393 Pd
```

Verdict on stability: x) comes out on top.

w) Computed, not measured: an optimized crystal structure of CuAg3Pd6 at the PBE-GGA level of DFT.

Properties
- Symmetry: P2_1/m, No. 11
- Calculated volume: 15.90 A^3/atom

```
CuAg3Pd6
1.0
7.442 0.000 0.000
0.000 4.640 0.000
-3.203 0.000 9.208
Cu Ag Pd
2 6 12
Cartesian
0.519 1.160 0.593 Cu
3.720 3.480 8.615 Cu
-1.608 3.480 6.771 Ag
0.546 3.480 4.885 Ag
-0.506 1.160 8.008 Ag
4.746 3.480 1.200 Ag
3.694 1.160 4.323 Ag
5.848 1.160 2.437 Ag
-0.008 3.480 2.058 Pd
-1.058 1.160 5.214 Pd
2.035 3.480 0.303 Pd
1.039 1.160 3.305 Pd
3.098 1.160 1.520 Pd
2.646 3.480 3.059 Pd
1.594 1.160 6.149 Pd
1.142 3.480 7.688 Pd
3.201 3.480 5.903 Pd
2.205 1.160 8.905 Pd
5.298 3.480 3.994 Pd
4.248 1.160 7.149 Pd
```

x) Computed, not measured: an optimized crystal structure of CuAg3Pd6 at the PBE-GGA level of DFT.

Properties
- Symmetry: P-31m, No. 162
- Calculated volume: 16.74 A^3/atom

```
CuAg3Pd6
1.0
5.182 0.000 0.000
-2.591 4.488 0.000
0.000 0.000 7.196
Cu Ag Pd
1 3 6
Cartesian
0.000 0.000 0.000 Cu
0.000 0.000 3.598 Ag
0.000 2.992 3.598 Ag
2.591 1.496 3.598 Ag
-1.040 1.801 5.904 Pd
-1.551 2.687 1.291 Pd
2.080 0.000 5.904 Pd
1.040 1.801 1.291 Pd
3.103 0.000 1.291 Pd
1.551 2.687 5.904 Pd
```

Verdict on stability: w) comes out on top.

w) Computed, not measured: an optimized crystal structure of CuAgPd4 at the PBE-GGA level of DFT.

Properties
- Symmetry: C2/m, No. 12
- Calculated volume: 16.06 A^3/atom

```
CuAgPd4
1.0
5.908 -3.500 0.000
5.908 3.500 0.000
-1.294 0.000 4.659
Cu Ag Pd
2 2 8
Cartesian
0.299 0.000 1.174 Cu
10.224 0.000 3.485 Cu
2.927 0.000 1.699 Ag
7.596 0.000 2.960 Ag
0.964 0.000 3.640 Pd
3.261 1.330 4.325 Pd
5.262 1.391 2.330 Pd
7.262 1.330 0.334 Pd
3.261 -1.330 4.325 Pd
5.262 -1.391 2.330 Pd
7.262 -1.330 0.334 Pd
9.559 0.000 1.019 Pd
```

x) Computed, not measured: an optimized crystal structure of CuAgPd4 at the PBE-GGA level of DFT.

Properties
- Symmetry: P4/mmm, No. 123
- Calculated volume: 15.26 A^3/atom

```
CuAgPd4
1.0
2.799 0.000 0.000
0.000 2.799 0.000
0.000 0.000 11.688
Cu Ag Pd
1 1 4
Cartesian
0.000 0.000 0.000 Cu
1.399 1.399 5.844 Ag
0.000 0.000 3.747 Pd
0.000 0.000 7.941 Pd
1.399 1.399 1.752 Pd
1.399 1.399 9.936 Pd
```

Verdict on stability: x) comes out on top.

w) Computed, not measured: an optimized crystal structure of Cu4AgPd2 at the PBE-GGA level of DFT.

Properties
- Symmetry: P1, No. 1
- Calculated volume: 14.48 A^3/atom

```
Cu4AgPd2
1.0
6.335 0.000 0.000
-2.994 5.789 0.000
-3.011 -1.722 5.529
Cu Ag Pd
8 2 4
Cartesian
0.000 0.000 0.000 Cu
-4.262 3.629 3.655 Cu
-2.088 2.611 2.425 Cu
0.130 1.905 1.472 Cu
2.292 1.044 0.098 Cu
-1.969 3.450 4.685 Cu
-0.215 4.381 3.103 Cu
1.576 0.072 5.118 Cu
-0.976 4.169 0.551 Ag
2.187 3.478 1.050 Ag
-2.428 0.745 4.333 Pd
0.435 -0.477 2.699 Pd
0.132 1.917 4.013 Pd
4.220 0.189 1.657 Pd
```

x) Computed, not measured: an optimized crystal structure of Cu4AgPd2 at the PBE-GGA level of DFT.

Properties
- Symmetry: I4/mmm, No. 139
- Calculated volume: 15.62 A^3/atom

```
Cu4AgPd2
1.0
-2.399 2.399 4.750
2.399 -2.399 4.750
2.399 2.399 -4.750
Cu Ag Pd
4 1 2
Cartesian
2.399 0.000 0.000 Cu
2.399 0.000 2.375 Cu
0.000 2.399 0.000 Cu
0.000 2.399 2.375 Cu
0.000 0.000 0.000 Ag
0.000 0.000 3.413 Pd
0.000 0.000 6.087 Pd
```

Verdict on stability: w) comes out on top.

w) Computed, not measured: an optimized crystal structure of Pm3Cu2Ag3 at the PBE-GGA level of DFT.

Properties
- Symmetry: P-62m, No. 189
- Calculated volume: 22.85 A^3/atom

```
Pm3Cu2Ag3
1.0
7.370 0.000 0.000
-3.685 6.383 0.000
0.000 0.000 3.886
Pm Cu Ag
3 2 3
Cartesian
-2.230 3.862 0.000 Pm
1.455 2.521 0.000 Pm
4.460 0.000 0.000 Pm
0.000 4.255 1.943 Cu
3.685 2.128 1.943 Cu
-0.887 1.535 1.943 Ag
1.773 0.000 1.943 Ag
2.799 4.847 1.943 Ag
```

x) Computed, not measured: an optimized crystal structure of Pm3Cu2Ag3 at the PBE-GGA level of DFT.

Properties
- Symmetry: Cmcm, No. 63
- Calculated volume: 22.72 A^3/atom

```
Pm3Cu2Ag3
1.0
2.074 -5.213 0.000
2.074 5.213 0.000
0.000 0.000 16.809
Pm Cu Ag
6 4 6
Cartesian
2.074 4.513 10.175 Pm
2.074 4.513 15.039 Pm
2.074 1.627 12.607 Pm
2.074 -1.627 4.202 Pm
2.074 -4.513 1.770 Pm
2.074 -4.513 6.634 Pm
2.074 2.896 1.974 Cu
2.074 2.896 6.430 Cu
2.074 -2.896 10.379 Cu
2.074 -2.896 14.835 Cu
2.074 1.469 8.936 Ag
2.074 1.469 16.278 Ag
2.074 1.353 4.202 Ag
2.074 -1.353 12.607 Ag
2.074 -1.469 0.531 Ag
2.074 -1.469 7.874 Ag
```

Verdict on stability: x) comes out on top.

w) Computed, not measured: an optimized crystal structure of Pm4CuAg3 at the PBE-GGA level of DFT.

Properties
- Symmetry: Pmm2, No. 25
- Calculated volume: 26.04 A^3/atom

```
Pm4CuAg3
1.0
3.905 0.000 0.000
0.000 4.832 0.000
0.000 0.000 11.039
Pm Cu Ag
4 1 3
Cartesian
0.000 0.000 0.000 Pm
0.000 2.416 3.020 Pm
1.952 0.000 5.313 Pm
1.952 2.416 8.586 Pm
1.952 0.000 2.279 Cu
0.000 0.000 7.838 Ag
0.000 2.416 6.135 Ag
1.952 2.416 0.679 Ag
```

x) Computed, not measured: an optimized crystal structure of Pm4CuAg3 at the PBE-GGA level of DFT.

Properties
- Symmetry: P4/mmm, No. 123
- Calculated volume: 25.19 A^3/atom

```
Pm4CuAg3
1.0
3.687 0.000 0.000
0.000 3.687 0.000
0.000 0.000 14.826
Pm Cu Ag
4 1 3
Cartesian
0.000 0.000 1.718 Pm
0.000 0.000 5.520 Pm
0.000 0.000 9.305 Pm
0.000 0.000 13.108 Pm
1.843 1.843 0.000 Cu
1.843 1.843 3.628 Ag
1.843 1.843 7.413 Ag
1.843 1.843 11.198 Ag
```

Verdict on stability: x) comes out on top.

w) Computed, not measured: an optimized crystal structure of PmCuAg2 at the PBE-GGA level of DFT.

Properties
- Symmetry: P4/mmm, No. 123
- Calculated volume: 20.36 A^3/atom

```
PmCuAg2
1.0
3.456 0.000 0.000
0.000 3.456 0.000
0.000 0.000 6.821
Pm Cu Ag
1 1 2
Cartesian
0.000 0.000 0.000 Pm
0.000 0.000 3.411 Cu
1.728 1.728 2.035 Ag
1.728 1.728 4.787 Ag
```

x) Computed, not measured: an optimized crystal structure of PmCuAg2 at the PBE-GGA level of DFT.

Properties
- Symmetry: P2_1/m, No. 11
- Calculated volume: 20.26 A^3/atom

```
PmCuAg2
1.0
4.179 0.000 0.000
0.000 7.751 0.000
-2.086 0.000 5.004
Pm Cu Ag
2 2 4
Cartesian
0.000 1.938 0.661 Pm
2.092 5.813 4.343 Pm
-0.005 5.813 2.243 Cu
2.097 1.938 2.761 Cu
0.005 0.429 3.588 Ag
0.005 3.446 3.588 Ag
2.088 4.304 1.416 Ag
2.088 7.322 1.416 Ag
```

Verdict on stability: x) comes out on top.

w) Computed, not measured: an optimized crystal structure of PmCuAg2 at the PBE-GGA level of DFT.

Properties
- Symmetry: R-3m, No. 166
- Calculated volume: 21.29 A^3/atom

```
PmCuAg2
1.0
2.287 1.321 4.700
-2.287 1.321 4.700
0.000 -2.641 4.700
Pm Cu Ag
1 1 2
Cartesian
0.000 0.000 0.000 Pm
0.000 0.000 7.050 Cu
0.000 0.000 3.050 Ag
0.000 0.000 11.051 Ag
```

x) Computed, not measured: an optimized crystal structure of PmCuAg2 at the PBE-GGA level of DFT.

Properties
- Symmetry: C2/c, No. 15
- Calculated volume: 20.46 A^3/atom

```
PmCuAg2
1.0
2.674 -6.655 0.000
2.674 6.655 0.000
-2.656 0.000 4.599
Pm Cu Ag
2 2 4
Cartesian
0.682 4.842 3.449 Pm
2.010 -4.842 1.150 Pm
2.010 3.332 1.150 Cu
0.682 -3.332 3.449 Cu
-0.659 1.118 4.172 Ag
0.669 -1.118 1.873 Ag
2.023 1.118 2.726 Ag
3.351 -1.118 0.427 Ag
```

Verdict on stability: x) comes out on top.

w) Computed, not measured: an optimized crystal structure of Pm2CuAg at the PBE-GGA level of DFT.

Properties
- Symmetry: Fm-3m, No. 225
- Calculated volume: 24.52 A^3/atom

```
Pm2CuAg
1.0
0.000 3.660 3.660
3.660 0.000 3.660
3.660 3.660 0.000
Pm Cu Ag
2 1 1
Cartesian
1.830 1.830 1.830 Pm
5.491 5.491 5.491 Pm
0.000 0.000 0.000 Cu
3.660 3.660 3.660 Ag
```

x) Computed, not measured: an optimized crystal structure of Pm2CuAg at the PBE-GGA level of DFT.

Properties
- Symmetry: P4/mmm, No. 123
- Calculated volume: 24.33 A^3/atom

```
Pm2CuAg
1.0
3.646 0.000 0.000
0.000 3.646 0.000
0.000 0.000 7.320
Pm Cu Ag
2 1 1
Cartesian
0.000 0.000 1.728 Pm
0.000 0.000 5.592 Pm
1.823 1.823 0.000 Cu
1.823 1.823 3.660 Ag
```

Verdict on stability: x) comes out on top.